The following is a PBE calculation of crystalline Pm2SbS at its relaxed geometry, from the Alexandria database.

Calculated values
Energy above the lowest structure with this stoichiometry ... 0.363 eV per atom
Total energy ... -22.58 eV/f.u.
Formation energy from raw total energies ... -1208 meV/atom

Cell lengths 7.4511, 7.4511, 7.4511 Å; angles 90.00, 90.00, 90.00 degrees
Space group Fm-3m (No. 225)
Asymmetric unit:
Pm (0.2500, 0.2500, 0.2500) x8
Sb (0.0000, 0.0000, 0.0000) x4
S (0.0000, 0.0000, 0.5000) x4

***

The following is a PBE calculation of crystalline SrAlIrN2 at its relaxed geometry, from the Alexandria database.

Calculated values
Total energy ... -19.72 eV/f.u.
Formation energy from raw total energies ... 2243 meV/atom

Cell lengths 4.3395, 4.3395, 5.9004 Å; angles 90.00, 90.00, 90.00 degrees
Space group P4/mmm (No. 123)
Asymmetric unit:
Sr (0.0000, 0.0000, 0.0000) x1
Al (0.5000, 0.5000, 0.5000) x1
Ir (0.0000, 0.0000, 0.5000) x1
N (0.0000, 0.5000, 0.0000) x2

***

The following is a PBE calculation of crystalline Sr2Tl3Pd4 at its relaxed geometry, from the Alexandria database.

Calculated values
Total energy ... -35.29 eV/f.u.
Energy of formation from the pure elements ... -0.450 eV/atom

Cell lengths 6.2635, 17.2252, 7.8019 Å; angles 90.00, 90.00, 90.00 degrees
Space group Cmce (No. 64)
Asymmetric unit:
Sr (0.0000, 0.1038, 0.0848) x8
Tl (0.0000, 0.0000, 0.5000) x4
Tl (0.2500, 0.2363, 0.7500) x8
Pd (0.0000, 0.1649, 0.4838) x8
Pd (0.2500, 0.0711, 0.7500) x8

***

The following is a PBE calculation of crystalline Pm2Al3Ni2 at its relaxed geometry, from the Alexandria database.

Calculated values
Total energy ... -36.14 eV/f.u.
Energy of formation from the pure elements ... -0.549 eV/atom

Cell lengths 10.5686, 4.0965, 7.0218 Å; angles 90.00, 118.81, 90.00 degrees
Space group C2/m (No. 12)
Asymmetric unit:
Pm (0.1381, 0.0000, 0.2761) x4
Al (0.0000, 0.5000, 0.5000) x2
Al (0.1482, 0.5000, 0.9361) x4
Ni (0.1321, 0.0000, 0.7084) x4